1.
A relaxed Ca4FeIr crystal. Source: Alexandria, functional PBE.

a b c (Å): 6.028 6.028 6.028
angles (deg): 60.00 60.00 60.00
Last column: magnetic moment on the atom in μB.
Fractional positions:
Ca1 0.375 0.876 0.375  -0.10
Ca2 0.876 0.375 0.375  -0.10
Ca3 0.375 0.375 0.876  -0.10
Ca4 0.375 0.375 0.375  -0.10
Fe1 0.750 0.750 0.750  3.02
Ir1 0.000 0.000 0.000  0.13

The density of states at the Fermi level is 10.8 states/eV per cell. The formation energy comes out at 1032 meV/atom. The uncorrected energy comes out at -0.2344 Ry/atom. The total magnetization comes out at 2.0 μB per cell.

=====

2.
A relaxed K2CaFeIr crystal. Source: Alexandria, functional PBE.

a b c (Å): 5.565 5.511 5.565
angles (deg): 90.00 90.00 90.00
Last column: magnetic moment on the atom in μB.
Fractional positions:
K1 0.000 0.000 0.500  -0.01
K2 0.500 0.000 0.000  -0.02
Ca1 0.000 0.500 0.000  0.04
Ir1 0.500 0.500 0.500  0.75
Fe1 0.000 0.000 0.000  -2.47

The density of states at the Fermi level is 11.2 states/eV per cell. The formation energy comes out at 1488 meV/atom. The uncorrected energy comes out at -0.2070 Ry/atom. The total magnetization comes out at 1.7 μB per cell.

=====

- The lowest total magnetization belongs to which entry?
  K2CaFeIr

=====

- The lowest total magnetization belongs to which entry?
  K2CaFeIr

=====

- Which of these has the highest total magnetization?
  Ca4FeIr